First-principles (PBE) data for a relaxed structure of Ba2GeCl, as listed in Alexandria via LeMat-Bulk.

Cell and atoms, written as POSCAR:
```
Ba2GeCl
1.0
6.634 0.000 0.000
0.000 6.631 0.257
0.000 -0.547 13.632
Ge Ba Cl
4 8 4
Cartesian
1.673 3.250 1.833 Ge
4.961 2.834 12.056 Ge
4.961 -0.339 8.520 Ge
1.673 6.423 5.368 Ge
1.647 2.833 12.075 Ba
4.964 6.151 12.166 Ba
1.670 3.109 5.222 Ba
4.987 3.251 1.814 Ba
1.647 -0.338 8.501 Ba
1.670 -0.067 1.722 Ba
4.964 2.975 8.667 Ba
4.987 6.422 5.387 Ba
1.645 2.978 8.647 Cl
4.989 3.106 5.241 Cl
1.645 6.148 12.185 Cl
4.989 -0.064 1.703 Cl
```

Calculated values
magnetization	0.00	μB per atom
uncorrected formation energy	-1.191	eV/atom
volume	600.59	Å³ per cell


First-principles (PBE) data for a relaxed structure of BaGeCl4, as listed in Alexandria via LeMat-Bulk.

Cell and atoms, written as POSCAR:
```
BaGeCl4
1.0
-5.224 2.660 0.594
1.997 -2.576 7.791
4.563 8.588 1.670
Cl Ge Ba
8 2 2
Cartesian
-0.444 2.506 2.900 Cl
2.595 6.823 1.549 Cl
1.780 6.166 7.155 Cl
1.296 -0.940 5.605 Cl
-1.259 1.849 8.506 Cl
0.040 9.613 4.450 Cl
-1.567 6.588 3.862 Cl
2.903 2.084 6.193 Cl
-0.602 8.349 2.435 Ge
1.938 0.323 7.620 Ge
4.387 4.964 6.214 Ba
-3.051 3.709 3.840 Ba
```

Calculated values
magnetization	0.00	μB per atom
uncorrected formation energy	-1.636	eV/atom
volume	474.86	Å³ per cell


First-principles (PBE) data for a relaxed structure of BaHgGeCl2, as listed in Alexandria via LeMat-Bulk.

Cell and atoms, written as POSCAR:
```
BaHgGeCl2
1.0
5.376 0.000 0.000
0.000 5.420 0.000
0.000 0.000 5.376
Ba Cl Hg Ge
1 2 1 1
Cartesian
2.688 2.710 2.688 Ba
2.688 0.000 0.000 Cl
0.000 0.000 2.688 Cl
0.000 2.710 0.000 Hg
0.000 0.000 0.000 Ge
```

Calculated values
magnetization	0.00	μB per atom
uncorrected formation energy	-0.798	eV/atom
volume	156.64	Å³ per cell


First-principles (PBE) data for a relaxed structure of Ba6GeI3Cl2, as listed in Alexandria via LeMat-Bulk.

Cell and atoms, written as POSCAR:
```
Ba6GeI3Cl2
1.0
8.160 0.006 0.004
-4.073 7.071 0.004
-1.359 -2.353 8.381
Ge Ba I Cl
1 6 3 2
Cartesian
0.000 0.000 0.000 Ge
4.059 2.413 6.592 Ba
0.061 4.722 6.592 Ba
2.667 0.002 1.798 Ba
-1.331 2.311 1.798 Ba
-0.029 -0.050 6.562 Ba
2.757 4.774 1.827 Ba
-2.701 4.710 4.195 I
1.364 2.362 4.195 I
5.430 0.014 4.195 I
0.012 4.712 0.004 Cl
4.076 2.365 0.004 Cl
```

Calculated values
magnetization	0.00	μB per atom
uncorrected formation energy	-1.431	eV/atom
volume	484.00	Å³ per cell


First-principles (PBE) data for a relaxed structure of Ba8Ge3I4Cl, as listed in Alexandria via LeMat-Bulk.

Cell and atoms, written as POSCAR:
```
Ba8Ge3I4Cl
1.0
-9.511 1.941 -0.618
-1.022 -7.271 -7.102
3.925 -2.407 8.573
Ge Ba Cl I
3 8 1 4
Cartesian
-3.304 -3.868 0.427 Ge
1.451 -4.839 0.736 Ge
-5.267 -2.665 -3.860 Ge
-7.374 -0.724 -2.250 Ba
-1.128 -5.856 -1.027 Ba
0.766 -7.013 3.103 Ba
-2.787 -1.660 -1.952 Ba
-0.730 -2.847 2.299 Ba
-5.878 -4.890 -1.445 Ba
-5.480 -1.881 1.880 Ba
-3.821 -6.077 2.805 Ba
-0.511 -3.635 -3.551 Cl
1.962 -1.204 4.287 I
-2.793 -0.233 3.978 I
0.000 0.000 0.000 I
-4.755 0.971 -0.309 I
```

Calculated values
magnetization	0.06	μB per atom
uncorrected formation energy	-1.197	eV/atom
volume	699.19	Å³ per cell


First-principles (PBE) data for a relaxed structure of Ba6Ge2ICl3, as listed in Alexandria via LeMat-Bulk.

Cell and atoms, written as POSCAR:
```
Ba6Ge2ICl3
1.0
4.807 0.000 0.000
0.000 9.641 0.634
-2.404 -2.491 10.086
Cl Ba Ge I
3 6 2 1
Cartesian
0.000 7.260 3.757 Cl
2.404 -0.110 6.963 Cl
2.404 4.820 0.317 Cl
2.404 0.176 3.653 Ba
2.404 4.651 3.847 Ba
0.000 2.499 6.873 Ba
0.000 6.974 7.067 Ba
0.000 2.595 0.396 Ba
2.404 4.555 10.324 Ba
2.404 4.798 7.240 Ge
0.000 2.352 3.479 Ge
2.404 0.000 0.000 I
```

Calculated values
magnetization	0.00	μB per atom
uncorrected formation energy	-1.386	eV/atom
volume	475.03	Å³ per cell


First-principles (PBE) data for a relaxed structure of BaInGe2Cl, as listed in Alexandria via LeMat-Bulk.

Cell and atoms, written as POSCAR:
```
BaInGe2Cl
1.0
5.220 0.000 0.000
0.000 5.756 0.000
0.000 0.000 5.220
Cl Ge In Ba
1 2 1 1
Cartesian
0.000 0.000 0.000 Cl
2.610 0.000 0.000 Ge
0.000 0.000 2.610 Ge
2.610 2.878 2.610 In
0.000 2.878 0.000 Ba
```

Calculated values
magnetization	0.00	μB per atom
uncorrected formation energy	-0.008	eV/atom
volume	156.88	Å³ per cell


First-principles (PBE) data for a relaxed structure of BaLi2GeCl8, as listed in Alexandria via LeMat-Bulk.

Cell and atoms, written as POSCAR:
```
BaLi2GeCl8
1.0
6.233 0.000 0.000
-3.117 5.398 0.000
0.000 0.000 8.709
Cl Li Ge Ba
8 2 1 1
Cartesian
0.759 1.701 2.962 Cl
2.358 3.697 5.747 Cl
1.264 5.205 2.962 Cl
1.853 0.193 5.747 Cl
5.140 1.508 5.747 Cl
0.000 3.599 8.533 Cl
-2.023 3.890 2.962 Cl
3.117 1.799 0.175 Cl
0.000 3.599 6.264 Li
3.117 1.799 2.445 Li
0.000 0.000 4.354 Ge
0.000 0.000 0.000 Ba
```

Calculated values
magnetization	0.00	μB per atom
uncorrected formation energy	-1.478	eV/atom
volume	293.05	Å³ per cell


First-principles (PBE) data for a relaxed structure of BaMnGe2Cl8, as listed in Alexandria via LeMat-Bulk.

Cell and atoms, written as POSCAR:
```
BaMnGe2Cl8
1.0
7.571 1.038 -0.480
1.129 5.860 -0.263
-0.561 -0.236 8.343
Cl Ba Ge Mn
8 1 2 1
Cartesian
5.598 1.824 6.166 Cl
6.497 6.480 0.814 Cl
7.749 3.111 0.942 Cl
5.814 4.274 3.356 Cl
1.643 0.182 6.786 Cl
0.390 3.552 6.659 Cl
2.325 2.388 4.244 Cl
2.541 4.839 1.434 Cl
-0.280 -0.118 4.171 Ba
5.559 4.221 1.049 Ge
2.580 2.441 6.551 Ge
0.000 0.000 0.000 Mn
```

Calculated values
magnetization	0.42	μB per atom
uncorrected formation energy	-1.264	eV/atom
volume	358.61	Å³ per cell


First-principles (PBE) data for a relaxed structure of BaGeN2Cl, as listed in Alexandria via LeMat-Bulk.

Cell and atoms, written as POSCAR:
```
BaGeN2Cl
1.0
-0.944 3.157 3.120
1.079 -3.674 4.044
4.351 1.290 0.011
N Cl Ba Ge
2 1 1 1
Cartesian
-0.472 1.579 1.560 N
2.175 0.645 0.005 N
0.000 0.000 0.000 Cl
0.539 -1.837 2.022 Ba
2.243 0.386 3.588 Ge
```

Calculated values
magnetization	0.30	μB per atom
uncorrected formation energy	1.692	eV/atom
volume	114.69	Å³ per cell